Entry 1:
# InHgOs3 GGA-PBEsol relaxed
# Calculated formation energy (eV per formula unit): 15.3
# Magnetization (Bohr magnetons per cell): 3.48
data_InHgOs3
_space_group_name_H-M_alt 'P 1'
_space_group_IT_number 1
_cell_length_a 4.8492
_cell_length_b 4.8492
_cell_length_c 4.8492
_cell_angle_alpha 90.00
_cell_angle_beta 90.00
_cell_angle_gamma 90.00
loop_
_space_group_symop_operation_xyz
'x,y,z'
loop_
_atom_site_label
_atom_site_fract_x
_atom_site_fract_y
_atom_site_fract_z
Os1 0.0000 0.5000 0.0000
Os2 0.0000 0.0000 0.5000
Os3 0.5000 0.0000 0.0000
Hg1 0.0000 0.0000 0.0000
In1 0.5000 0.5000 0.5000


Entry 2:
# InHgOs GGA-PBEsol relaxed
# Calculated formation energy (eV per formula unit): 2.2
# Magnetization (Bohr magnetons per cell): 0.00
data_InHgOs
_space_group_name_H-M_alt 'P 1'
_space_group_IT_number 1
_cell_length_a 2.9582
_cell_length_b 2.9582
_cell_length_c 7.4817
_cell_angle_alpha 95.77
_cell_angle_beta 95.77
_cell_angle_gamma 119.42
loop_
_space_group_symop_operation_xyz
'x,y,z'
loop_
_atom_site_label
_atom_site_fract_x
_atom_site_fract_y
_atom_site_fract_z
Hg1 0.0080 0.0080 0.0159
In1 0.3227 0.3227 0.6454
Os1 0.6693 0.6693 0.3386